Here is a relaxed La4Ge2TeCl crystal from Alexandria. Energies are from PBE.

Cell: 6.267 6.267 12.374 Å, 90.00 90.00 90.00°
Fractional positions:
La: 0.000 0.000 0.246
La: 0.000 0.000 0.754
La: 0.000 0.500 0.000
La: 0.000 0.500 0.500
La: 0.500 0.000 0.000
La: 0.500 0.000 0.500
La: 0.500 0.500 0.254
La: 0.500 0.500 0.746
Ge: 0.000 0.500 0.250
Ge: 0.000 0.500 0.750
Ge: 0.500 0.000 0.250
Ge: 0.500 0.000 0.750
Te: 0.000 0.000 0.500
Te: 0.500 0.500 0.000
Cl: 0.000 0.000 0.000
Cl: 0.500 0.500 0.500

Computed properties:
Energy relative to the elements, uncorrected in meV/atom: -1285
D(E_F) in states/eV per atom: 0.3365
Electronic total energy in eV per atom: -5.526
Total magnetic moment in μB per cell: 0.0


Here is a relaxed KRb2TlCu crystal from Alexandria. Energies are from PBE.

Cell: 6.947 6.947 5.175 Å, 90.00 90.00 90.00°
Fractional positions:
K: 0.000 0.000 0.000
Rb: 0.000 0.500 0.500
Rb: 0.500 0.000 0.500
Tl: 0.500 0.500 0.000
Cu: 0.500 0.500 0.500

Computed properties:
D(E_F) in states/eV per atom: 0.7628
Electronic total energy in eV per atom: -1.746
Energy of formation from the pure elements in kJ/mol of atoms: 15
Total magnetic moment in μB per cell: 0.0


Here is a relaxed CrOs2Pt crystal from Alexandria. Energies are from PBE.

Cell: 2.754 4.405 9.619 Å, 90.00 90.00 90.00°
Fractional positions:
Cr: 0.000 0.000 0.000
Cr: 0.500 0.500 0.500
Os: 0.000 0.500 0.285
Os: 0.000 0.500 0.715
Os: 0.500 0.000 0.215
Os: 0.500 0.000 0.785
Pt: 0.000 0.000 0.500
Pt: 0.500 0.500 0.000

Computed properties:
D(E_F) in states/eV per atom: 1.0289
Electronic total energy in eV per atom: -9.293
Energy of formation from the pure elements in kJ/mol of atoms: 23
Total magnetic moment in μB per cell: 2.4


Here is a relaxed AlTe3P crystal from Alexandria. Energies are from PBE.

Cell: 6.934 6.934 7.583 Å, 90.00 90.00 120.00°
Fractional positions:
Al: 0.333 0.667 0.000
Al: 0.667 0.333 0.000
Te: 0.000 0.368 0.230
Te: 0.000 0.632 0.770
Te: 0.368 0.000 0.230
Te: 0.368 0.368 0.770
Te: 0.632 0.000 0.770
Te: 0.632 0.632 0.230
P: 0.000 0.000 0.150
P: 0.000 0.000 0.850

Computed properties:
Energy relative to the elements, uncorrected in meV/atom: -72
D(E_F) in states/eV per atom: 0.3937
Offset from the most stable computed form in meV/atom: 0.0
Electronic total energy in eV per atom: -3.787
Total magnetic moment in μB per cell: 0.0